Entry from the Alexandria database: a relaxed structure of LaAsSe2F (PBE-GGA).

Geometry as POSCAR:
```
LaAsSe2F
1.0
5.725 0.000 0.000
0.000 5.725 0.000
0.000 0.000 6.117
As Se F La
1 2 1 1
Direct
0.000 0.000 0.500
0.000 0.500 0.000
0.500 0.000 0.000
0.500 0.500 0.500
0.000 0.000 0.000
```

Values from the calculation:
N(E_F)	2.8407	states/eV per atom
ΔE_f (raw)	0.00	eV per atom
relative energy among the computed polymorphs	881.2	meV per atom